Computed, not measured: a relaxed structure of Y3Tm2UN6 at the GGA-PBE level of DFT.

DOS at the Fermi energy = 4.83 states/eV/cell
raw formation energy = -164 kJ/mol of atoms
space-group type = C2/m (12)

Geometry as POSCAR:
```
Y3Tm2UN6
1.0
-4.5755 0.4991 -3.7696
4.6867 -3.3694 -1.4409
-2.4993 -3.4967 4.1315
N Tm Y U
6 2 3 1
Cartesian
-3.3030 -4.2362 -1.1850
-0.3433 -5.4724 -0.4409
0.9150 -2.1308 0.1060
-1.8884 -3.3707 1.9114
-0.4996 -2.9963 -2.9904
-2.0448 -0.8945 -0.6381
-1.4848 -0.7917 -2.9926
1.5960 -2.0785 -2.2180
-4.2671 -1.8999 -1.3122
1.8791 -4.4670 0.2332
-1.1940 -3.1835 -0.5395
0.0000 0.0000 0.0000
```